This record from the Alexandria database describes an optimized crystal structure of Co3OF5. The functional is PBE with a Hubbard U.

Geometry as extended XYZ:
```
18
Lattice="4.685 0.000 0.000 -0.035 5.681 0.000 -0.027 -0.190 7.819" Properties=species:S:1:pos:R:3 pbc="T T T"
Co 0.000 0.000 0.000
Co -0.029 3.431 5.329
Co 0.001 1.813 2.488
Co 2.066 2.508 7.802
Co 2.209 0.781 5.230
Co 2.289 4.591 2.638
O 0.869 1.632 0.730
O 1.259 2.358 6.092
F 0.783 5.171 5.980
F 0.831 3.443 3.457
F 1.301 4.438 0.829
F 1.367 0.588 3.414
F 3.095 2.878 1.752
F 3.151 0.837 7.012
F 3.213 4.690 4.505
F 3.537 3.646 7.066
F 3.679 1.916 4.389
F 3.740 0.080 1.840
```

- Total DFT energy (no corrections): -92.4 eV per cell
- Polymorph energy (0 for the lowest one): 0.45 kcal/mol of atoms
- Volume: 208.10 Å³ per cell
- Space group: No. 1